The following is a DFT calculation (PBE) of a relaxed HfSIN2 crystal.

## Properties
**Polymorph energy (0 for the lowest one)**: 13.6 kJ/mol of atoms
**Energy relative to the elements, uncorrected**: 0.602 eV/atom

Cell: 4.0710 4.0710 6.4732 Å, 90.00 90.00 90.00°
Space group P4/mmm (No. 123)
Inequivalent atoms, fractional coordinates:
Hf: 0.0000 0.0000 0.0000
S: 0.5000 0.5000 0.5000
I: 0.0000 0.0000 0.5000
N: 0.0000 0.5000 0.0000